VASP calculation (GGA-PBE) on a geometry-optimized RbCd4Ag structure.

Values from the calculation:
Symmetry: P2_1/m, No. 11
E_form in eV/atom: -0.023

Cell lengths 5.6882, 9.6674, 6.3581 Å; angles 90.00, 93.13, 90.00 degrees
With the nearest neighbours (Å) after each atom.
Atoms (fractional coordinates):
Rb (0.0208, 0.2500, 0.0048)  2 Ag 3.43-3.45, 2 Cd 3.58-3.59
Rb (0.9792, 0.7500, 0.9952)  2 Ag 3.43-3.45, 2 Cd 3.58-3.59
Cd (0.0000, 0.0000, 0.5000)  2 Ag 2.81, 2 Cd 2.87
Cd (0.0000, 0.5000, 0.5000)  2 Ag 2.81, 2 Cd 2.87
Cd (0.2714, 0.7500, 0.5110)  2 Ag 2.73-2.97, 2 Cd 2.87
Cd (0.4968, 0.0062, 0.7605)  6 Cd 3.05-3.38, 2 Ag 3.11-3.40
Cd (0.4968, 0.4938, 0.7605)  6 Cd 3.05-3.38, 2 Ag 3.11-3.40
Cd (0.5032, 0.5062, 0.2395)  6 Cd 3.05-3.38, 2 Ag 3.11-3.40
Cd (0.5032, 0.9938, 0.2395)  6 Cd 3.05-3.38, 2 Ag 3.11-3.40
Cd (0.7286, 0.2500, 0.4890)  2 Ag 2.73-2.97, 2 Cd 2.87
Ag (0.2517, 0.2500, 0.5176)  4 Cd 2.73-2.97
Ag (0.7483, 0.7500, 0.4824)  4 Cd 2.73-2.97